Below is RbTl2InCl4 after structural relaxation, with properties calculated at the PBE level.

Geometry as POSCAR:
```
RbTl2InCl4
1.0
4.623 0.000 0.000
0.000 7.998 -0.158
0.000 2.814 7.491
Cl Tl In Rb
4 2 1 1
Direct
0.500 0.248 0.753
0.000 0.251 0.247
0.500 0.752 0.247
0.000 0.749 0.753
0.500 0.000 0.500
0.000 0.000 0.000
0.500 0.500 0.000
0.000 0.500 0.500
```

- Crystal system: monoclinic
- Energy relative to the elements, uncorrected: -1.193 eV/atom
- M_tot: 0.00 Bohr magnetons per cell
- DFT total energy: -3.171 eV per atom

Below is GaAgF2 after structural relaxation, with properties calculated at the PBE level.

Geometry as POSCAR:
```
GaAgF2
1.0
-1.753 -2.696 2.935
-3.456 1.265 2.326
-3.898 -1.790 -0.744
Ga F Ag
1 2 1
Direct
0.000 0.000 0.000
0.250 0.250 0.250
0.750 0.750 0.750
0.500 0.500 0.500
```

- Crystal system: cubic
- Energy relative to the elements, uncorrected: -1.189 eV/atom
- M_tot: 0.00 Bohr magnetons per cell
- DFT total energy: -3.595 eV per atom
- Offset from the most stable computed form: 28 meV/atom

Below is ScGaRh2W after structural relaxation, with properties calculated at the PBE level.

Geometry as POSCAR:
```
ScGaRh2W
1.0
4.705 0.000 0.000
0.000 5.082 0.000
0.000 0.000 4.705
W Rh Ga Sc
1 2 1 1
Direct
0.000 0.000 0.000
0.000 0.000 0.500
0.500 0.000 0.000
0.500 0.500 0.500
0.000 0.500 0.000
```

- Crystal system: tetragonal
- ΔE_f: 4.05 eV per formula unit
- M_tot: 0.00 Bohr magnetons per cell
- DFT total energy: -6.593 eV per atom

Below is La4Pm3Er2 after structural relaxation, with properties calculated at the PBE level.

Geometry as POSCAR:
```
La4Pm3Er2
1.0
-0.754 2.046 4.727
6.574 -3.933 2.750
2.617 5.933 -5.017
Pm La Er
3 4 2
Direct
0.112 0.670 0.224
0.888 0.330 0.776
0.000 0.000 0.000
0.554 0.329 0.109
0.446 0.671 0.891
0.224 0.330 0.447
0.776 0.670 0.553
0.668 0.999 0.336
0.332 0.001 0.664
```

- Crystal system: monoclinic
- ΔE_f: 0.23 eV per formula unit
- M_tot: 0.00 Bohr magnetons per cell
- DFT total energy: -4.762 eV per atom
- Offset from the most stable computed form: 0 meV/atom

Below is Tm2ZrCo9 after structural relaxation, with properties calculated at the PBE level.

Geometry as POSCAR:
```
Tm2ZrCo9
1.0
-4.808 -0.419 0.707
-1.756 -3.651 2.717
-1.622 3.282 7.741
Co Tm Zr
9 2 1
Direct
0.078 0.582 0.757
0.418 0.418 0.243
0.418 0.922 0.243
0.582 0.078 0.757
0.665 0.665 0.004
0.500 0.500 0.500
0.922 0.418 0.243
0.335 0.335 0.996
0.582 0.582 0.757
0.139 0.139 0.582
0.861 0.861 0.418
0.000 0.000 0.000
```

- Crystal system: trigonal
- ΔE_f: -2.50 eV per formula unit
- M_tot: 10.00 Bohr magnetons per cell
- DFT total energy: -6.995 eV per atom

Below is Zr2TlSe after structural relaxation, with properties calculated at the PBE level.

Geometry as POSCAR:
```
Zr2TlSe
1.0
-6.652 5.866 3.564
-7.573 2.862 5.082
-5.071 4.838 6.500
Tl Zr Se
1 2 1
Direct
0.751 0.751 0.751
0.242 0.242 0.242
0.995 0.995 0.995
0.512 0.512 0.512
```

- Crystal system: trigonal
- Energy relative to the elements, uncorrected: -0.363 eV/atom
- M_tot: 0.00 Bohr magnetons per cell
- DFT total energy: -6.099 eV per atom
- Offset from the most stable computed form: 219 meV/atom

Below is In2FeCl8 after structural relaxation, with properties calculated at the PBE level.

Geometry as POSCAR:
```
In2FeCl8
1.0
7.476 0.555 1.586
3.713 6.512 1.586
0.245 0.155 9.099
Cl In Fe
8 2 1
Direct
0.870 0.344 0.857
0.130 0.656 0.143
0.383 0.383 0.736
0.656 0.130 0.143
0.806 0.806 0.552
0.194 0.194 0.448
0.617 0.617 0.264
0.344 0.870 0.857
0.778 0.778 0.308
0.222 0.222 0.692
0.000 0.000 0.000
```

- Crystal system: monoclinic
- Energy relative to the elements, uncorrected: -0.889 eV/atom
- M_tot: 4.00 Bohr magnetons per cell
- DFT total energy: -3.499 eV per atom

Below is Ta6NbRu2 after structural relaxation, with properties calculated at the PBE level.

Geometry as POSCAR:
```
Ta6NbRu2
1.0
-2.565 -1.283 1.499
-0.848 -4.878 -2.130
4.494 -6.103 5.961
Ta Ru Nb
6 2 1
Direct
0.996 0.677 0.331
0.670 0.548 0.112
0.669 0.223 0.440
0.330 0.452 0.888
0.004 0.323 0.669
0.331 0.777 0.560
0.333 0.112 0.222
0.667 0.888 0.778
0.000 0.000 0.000
```

- Crystal system: monoclinic
- ΔE_f: -1.97 eV per formula unit
- M_tot: 0.00 Bohr magnetons per cell
- DFT total energy: -11.301 eV per atom
- Offset from the most stable computed form: 0 meV/atom